# 1
Er4CdIr2Au | GGA-PBE | relaxed

The structure in POSCAR format:
```
Er4CdIr2Au
1.0
4.9602 0.0000 0.0000
2.4801 4.2956 0.0000
2.4801 1.4319 8.0908
Er Cd Ir Au
4 1 2 1
Cartesian
4.9602 2.8638 7.0193 Er
7.4403 4.2956 3.0932 Er
2.4801 1.4319 4.9977 Er
4.9602 2.8638 1.0716 Er
0.0000 0.0000 0.0000 Cd
7.4403 4.2956 6.1496 Ir
2.4801 1.4319 1.9413 Ir
4.9602 2.8638 4.0454 Au
```

Properties
* DOS(E_F): 5.12 states/eV/f.u.
* DFT total energy: -5.75 eV per atom
* total magnetization: 0.000 μB per formula unit

---

# 2
CrFe2H2 | GGA-PBE | relaxed

The structure in POSCAR format:
```
CrFe2H2
1.0
0.2588 2.0508 1.5071
-0.3097 0.2969 -2.5219
-6.2849 0.2079 0.7963
Cr Fe H
1 2 2
Cartesian
0.0000 0.0000 0.0000 Cr
-4.2330 1.0176 -0.6578 Fe
-2.1028 1.5380 0.4393 Fe
-1.2663 0.9195 -1.0337 H
-5.0695 1.6362 0.8152 H
```

Properties
* DOS(E_F): 4.76 states/eV/f.u.
* DFT total energy: -6.59 eV per atom
* offset from the most stable computed form: 0.00 eV per formula unit
* total magnetization: 0.000 μB per formula unit